Density functional theory data (GGA-PBE) for a geometry-optimized Li3Pa5Se12 structure.

Geometry as POSCAR:
```
Li3Pa5Se12
1.0
11.396 0.000 0.000
-5.698 9.869 0.000
0.000 0.000 4.072
Li Pa Se
3 5 12
Cartesian
-3.850 6.668 0.000
1.848 3.202 0.000
7.699 0.000 0.000
-1.619 2.803 2.036
3.237 0.000 2.036
0.000 6.580 2.036
5.698 3.290 2.036
4.080 7.066 2.036
-2.998 5.192 2.036
-4.735 8.202 2.036
0.963 1.668 2.036
-0.318 4.482 0.000
-1.658 7.904 0.000
4.040 1.966 0.000
2.701 4.677 2.036
5.995 0.000 2.036
1.976 7.353 0.000
5.380 5.387 0.000
7.674 2.516 0.000
9.471 0.000 2.036
```

Output
total magnetization	0.106	μB/atom
space group	P-62m (189)
uncorrected formation energy	-2362.7	kJ/mol of formula units
energy	-119.52	eV per cell

Density functional theory data (GGA-PBE) for a geometry-optimized Li7PaSe6 structure.

Geometry as POSCAR:
```
Li7PaSe6
1.0
3.664 2.115 6.583
-3.664 2.115 6.583
0.000 -4.230 6.583
Li Pa Se
7 1 6
Cartesian
0.000 0.000 0.000
-2.193 0.022 8.847
-1.271 -2.302 10.730
1.078 -1.910 8.847
-1.358 2.252 10.730
1.116 1.888 8.847
2.629 0.050 10.730
0.000 0.000 13.078
-1.370 -2.285 8.098
-2.274 -0.058 11.477
-1.294 2.329 8.098
1.187 -1.940 11.477
2.664 -0.044 8.098
1.086 1.998 11.477
```

Output
total magnetization	0.000	μB/atom
space group	R3 (146)
uncorrected formation energy	-1732.8	kJ/mol of formula units
energy	-61.76	eV per cell

Density functional theory data (GGA-PBE) for a geometry-optimized LiPa2Se3 structure.

Geometry as POSCAR:
```
LiPa2Se3
1.0
6.512 -2.834 0.000
6.512 2.834 0.000
-2.303 0.000 7.395
Li Pa Se
2 4 6
Cartesian
5.937 2.831 1.849
4.785 -2.831 5.546
3.319 -0.001 3.061
2.167 0.001 6.759
8.555 -0.001 0.636
7.404 0.001 4.334
1.814 -0.001 0.565
0.663 0.001 4.263
5.937 -0.001 1.849
4.785 0.001 5.546
10.060 -0.001 3.133
8.908 0.001 6.830
```

Output
total magnetization	0.008	μB/atom
space group	C2/c (15)
uncorrected formation energy	-725.6	kJ/mol of formula units
energy	-77.76	eV per cell